The following is a DFT calculation (GGA+U) of a relaxed structure of Ni2GeAsO6.

E_tot	-5.2882	eV per atom
mass density	4.7	g/cm³

The structure in extended XYZ format:
```
10
Lattice="5.223 0.000 0.000 0.000 5.223 0.000 0.000 0.000 4.705" Properties=species:S:1:pos:R:3 pbc="T T T"
Ni 0.000 2.611 0.000
Ni 2.611 0.000 0.000
Ge 0.000 0.000 3.080
As 2.611 2.611 3.143
O 0.000 0.000 1.366
O 1.275 1.275 3.824
O 1.275 3.948 3.824
O 2.611 2.611 1.450
O 3.948 1.275 3.824
O 3.948 3.948 3.824
```